BaScSi2: optimized geometry, GGA-PBE.

## Properties
Final energy = -41.46 eV for the cell shown
E_form (uncorrected) = -0.41 eV per atom
V = 213.1 Å³/cell

Geometry as CIF:
```
data_BaScSi2
_chemical_formula_sum 'Ba2 Sc2 Si4'
_symmetry_space_group_name_H-M 'C 1 2/m 1'
_symmetry_Int_Tables_number 12
_symmetry_space_group_name_Hall '-C 2y'
_cell_length_a 9.0220
_cell_length_b 3.8807
_cell_length_c 6.4039
_cell_angle_alpha 90.00
_cell_angle_beta 108.08
_cell_angle_gamma 90.00
loop_
_atom_site_label
_atom_site_fract_x
_atom_site_fract_y
_atom_site_fract_z
_atom_site_occupancy
Ba1 0.0000 0.0000 0.0000 1
Sc1 0.0000 0.5000 0.5000 1
Si1 0.2350 0.0000 0.6163 1
```

PmSnPRh2: optimized geometry, GGA-PBE.

## Properties
Energy relative to the elements = -611.3 meV/atom
Final energy = -31.92 eV for the cell shown
V = 113.9 Å³/cell

Geometry as CIF:
```
data_PmSnPRh2
_chemical_formula_sum 'Pm1 Sn1 P1 Rh2'
_symmetry_space_group_name_H-M 'P 4 m m'
_symmetry_Int_Tables_number 99
_symmetry_space_group_name_Hall 'P 4 -2'
_cell_length_a 4.2121
_cell_length_b 4.2121
_cell_length_c 6.4222
_cell_angle_alpha 90.00
_cell_angle_beta 90.00
_cell_angle_gamma 90.00
loop_
_atom_site_label
_atom_site_fract_x
_atom_site_fract_y
_atom_site_fract_z
_atom_site_occupancy
Pm1 0.0000 0.0000 0.0000 1
Sn1 0.5000 0.5000 0.1637 1
P1 0.0000 0.0000 0.5692 1
Rh1 0.0000 0.5000 0.4246 1
```

DyTcPb2O6: optimized geometry, GGA-PBE.

## Properties
Final energy = -140.29 eV for the cell shown
E_form (uncorrected) = -1.80 eV per atom
V = 286.7 Å³/cell

Geometry as CIF:
```
data_DyTcPb2O6
_chemical_formula_sum 'Dy2 Tc2 Pb4 O12'
_symmetry_space_group_name_H-M 'P 1 21/c 1'
_symmetry_Int_Tables_number 14
_symmetry_space_group_name_Hall '-P 2ybc'
_cell_length_a 5.8759
_cell_length_b 5.8843
_cell_length_c 10.1346
_cell_angle_alpha 90.00
_cell_angle_beta 125.10
_cell_angle_gamma 90.00
loop_
_atom_site_label
_atom_site_fract_x
_atom_site_fract_y
_atom_site_fract_z
_atom_site_occupancy
Dy1 0.0000 0.0000 0.0000 1
Tc1 0.5000 0.0000 0.5000 1
Pb1 0.2620 0.0271 0.7526 1
O1 0.1890 0.0155 0.2676 1
O2 0.2777 0.7011 0.0437 1
O3 0.3467 0.2284 0.0415 1
```

NdPuO2: optimized geometry, GGA-PBE.

## Properties
Final energy = -118.33 eV for the cell shown
E_form (uncorrected) = -2.61 eV per atom
V = 186.9 Å³/cell

Geometry as CIF:
```
data_NdPuO2
_chemical_formula_sum 'Nd3 Pu3 O6'
_symmetry_space_group_name_H-M 'R -3 m'
_symmetry_Int_Tables_number 166
_symmetry_space_group_name_Hall '-R 3 2"'
_cell_length_a 3.5211
_cell_length_b 3.5211
_cell_length_c 17.4051
_cell_angle_alpha 90.00
_cell_angle_beta 90.00
_cell_angle_gamma 120.00
loop_
_atom_site_label
_atom_site_fract_x
_atom_site_fract_y
_atom_site_fract_z
_atom_site_occupancy
Nd1 0.0000 0.0000 0.0000 1
Pu1 0.0000 0.0000 0.5000 1
O1 0.0000 0.0000 0.2451 1
```